This record from Alexandria describes Mn2CoB2 after structural relaxation. The functional is PBE.

abc: 3.3408 3.3408 8.6563
angles: 90.00 90.00 90.00
Space group I4/mmm (No. 139)
Symmetry-distinct sites (fractional):
Mn (0.0000, 0.5000, 0.2500) x4
Co (0.0000, 0.0000, 0.0000) x2
B (0.0000, 0.0000, 0.4031) x4

V ... 48.3 Å³/f.u.
Energy relative to the lowest polymorph listed for this composition ... 411.0 meV per atom
Mass density ... 6.55 g/cm³
Energy of formation ... 0.08 eV/atom
Fermi-level density of states ... 3.684 states/eV/f.u.
E_tot ... -76.80 eV per cell